(1)
Entry from Alexandria via LeMat-Bulk: SnGeB2 after structural relaxation (PBE).

Cell lengths 5.087, 5.087, 10.158 Å; angles 90.00, 90.00, 90.00 degrees
Space group I-42d (No. 122)
One atom of each set of equivalent atoms:
Sn 0.000 0.000 0.000 [4 per cell]
Ge 0.000 0.000 0.500 [4 per cell]
B 0.214 0.250 0.625 [8 per cell]

Results
Relative energy among the computed polymorphs   0.0 meV/atom
E_tot   -77.3 eV for the cell shown

=====

(2)
Entry from Alexandria via LeMat-Bulk: As2RuIBr after structural relaxation (PBE).

Cell lengths 4.856, 4.856, 5.166 Å; angles 90.00, 90.00, 90.00 degrees
Space group P4/mmm (No. 123)
One atom of each set of equivalent atoms:
As 0.000 0.500 0.000 [2 per cell]
Ru 0.000 0.000 0.000 [1 per cell]
I 0.500 0.500 0.500 [1 per cell]
Br 0.000 0.000 0.500 [1 per cell]

Results
Uncorrected formation energy   1.7 eV per formula unit
Relative energy among the computed polymorphs   0.0 meV/atom
E_tot   -20.1 eV for the cell shown

=====

(3)
Entry from Alexandria via LeMat-Bulk: PmHo2ThSc4 after structural relaxation (PBE).

Cell lengths 4.975, 4.987, 9.068 Å; angles 90.00, 90.00, 90.00 degrees
Space group Pmmm (No. 47)
One atom of each set of equivalent atoms:
Pm 0.000 0.000 0.000 [1 per cell]
Ho 0.000 0.000 0.500 [1 per cell]
Ho 0.500 0.500 0.000 [1 per cell]
Th 0.500 0.500 0.500 [1 per cell]
Sc 0.000 0.500 0.253 [2 per cell]
Sc 0.500 0.000 0.254 [2 per cell]

Results
E_tot   -46.3 eV for the cell shown

=====

(4)
Entry from Alexandria via LeMat-Bulk: Co2Pb after structural relaxation (PBE).

Cell lengths 3.136, 3.136, 9.908 Å; angles 90.00, 90.00, 90.00 degrees
Space group I4/mmm (No. 139)
One atom of each set of equivalent atoms:
Co 0.000 0.000 0.200 [4 per cell]
Pb 0.000 0.000 0.500 [2 per cell]

Results
E_tot   -32.8 eV for the cell shown